Computed, not measured: a relaxed structure of SrEu3Cl at the PBE level of DFT.

Cell: 5.862 5.862 5.862 Å, 90.00 90.00 90.00°
Space group Pm-3m (No. 221)
Symmetry-distinct sites (fractional):
1 Sr 0.000 0.000 0.000 [1 per cell]
2 Eu 0.000 0.500 0.500 [3 per cell]
3 Cl 0.500 0.500 0.500 [1 per cell]

## Properties
- V: 201 Å³/f.u.
- E_form (uncorrected): -0.582 eV/atom
- Total moment: 23.71 μB/f.u.
- Total energy: -7.452 eV per atom

Computed, not measured: a relaxed structure of TbEu2Cl at the PBE level of DFT.

Cell: 3.7951 3.7951 31.4246 Å, 90.00 90.00 120.00°
Space group R-3m (No. 166, hexagonal axes)
Symmetry-distinct sites (fractional):
1 Tb 0.0000 0.0000 0.0000 [3 per cell]
2 Eu 0.0000 0.0000 0.2365 [6 per cell]
3 Cl 0.0000 0.0000 0.5000 [3 per cell]

## Properties
- V: 131 Å³/f.u.
- E_form (uncorrected): -0.772 eV/atom
- Total moment: 15.33 μB/f.u.
- Total energy: -7.529 eV per atom

Computed, not measured: a relaxed structure of TbEuCl2 at the PBE level of DFT.

Cell: 3.6729 3.6729 29.2111 Å, 90.00 90.00 120.00°
Space group R-3m (No. 166, hexagonal axes)
Symmetry-distinct sites (fractional):
1 Tb 0.0000 0.0000 0.0000 [3 per cell]
2 Eu 0.0000 0.0000 0.5000 [3 per cell]
3 Cl 0.0000 0.0000 0.3995 [6 per cell]

## Properties
- V: 114 Å³/f.u.
- E_form (uncorrected): -1.355 eV/atom
- Total moment: 7.56 μB/f.u.
- Total energy: -6.005 eV per atom

Computed, not measured: a relaxed structure of Eu2TeCl at the PBE level of DFT.

Cell: 7.707 7.707 7.707 Å, 90.00 90.00 90.00°
Space group Fm-3m (No. 225)
Symmetry-distinct sites (fractional):
1 Eu 0.250 0.250 0.250 [8 per cell]
2 Te 0.000 0.000 0.000 [4 per cell]
3 Cl 0.000 0.000 0.500 [4 per cell]

## Properties
- V: 114 Å³/f.u.
- Energy above the lowest structure with this stoichiometry: 111 meV per atom
- E_form (uncorrected): -1.533 eV/atom
- Total moment: 14.99 μB/f.u.
- Total energy: -7.917 eV per atom

Q: V of number 3 (TbEuCl2)?
A: 114 Å³/f.u.

Q: What is the E_form (uncorrected) in the second record?
A: -0.772 eV/atom